Record 1
Material: La4Tb2H
Method: DFT, PBE-GGA
State: relaxed

```
La4Tb2H
1.0
-2.9428 4.1097 -0.1292
-0.4123 -0.1369 5.0377
5.4264 7.0960 3.1745
La Tb H
4 2 1
direct
0.0000 0.5000 0.0000
0.5000 0.0000 0.0000
0.8428 0.8428 0.3145
0.1572 0.1572 0.6855
0.6387 0.6387 0.7226
0.3613 0.3613 0.2774
0.0000 0.0000 0.0000
```

Values from the calculation:
Symmetry ... I4/mmm, No. 139

---

Record 2
Material: La5Tb3H12
Method: DFT, PBE-GGA
State: relaxed

```
La5Tb3H12
1.0
-5.4745 -5.3651 8.9718
11.2452 2.0630 2.9218
-5.3942 10.2292 -2.3479
H La Tb
48 20 12
direct
0.4241 0.6556 0.0852
0.4296 0.1611 0.5851
0.5851 0.9241 0.6556
0.1611 0.4296 0.0852
0.7315 0.5704 0.1556
0.9148 0.0704 0.8389
0.5851 0.6611 0.4296
0.6611 0.5851 0.9296
0.6556 0.2315 0.5704
0.4148 0.3389 0.5704
0.7685 0.3444 0.9296
0.0759 0.6611 0.7315
0.6611 0.0759 0.2315
0.5704 0.8389 0.4148
0.1556 0.0852 0.9241
0.4148 0.0759 0.3444
0.2685 0.8389 0.9241
0.9148 0.8444 0.5759
0.9296 0.8444 0.7685
0.9296 0.0852 0.6611
0.2685 0.4296 0.8444
0.5759 0.2315 0.1611
0.2315 0.6556 0.0704
0.3444 0.7685 0.4296
0.4241 0.7685 0.8389
0.1611 0.7315 0.5759
0.8389 0.2685 0.4241
0.3444 0.5759 0.4148
0.3389 0.4148 0.0704
0.9241 0.5851 0.1556
0.0852 0.9296 0.1611
0.7685 0.4241 0.3389
0.7315 0.1611 0.0759
0.3389 0.9241 0.7685
0.1556 0.0704 0.7315
0.8389 0.5704 0.9148
0.0704 0.1556 0.2315
0.5704 0.7315 0.6556
0.5759 0.3444 0.9148
0.4296 0.2685 0.3444
0.2315 0.5759 0.6611
0.0852 0.1556 0.4241
0.9241 0.3389 0.2685
0.6556 0.4241 0.5851
0.0759 0.4148 0.8444
0.8444 0.9296 0.2685
0.8444 0.9148 0.0759
0.0704 0.9148 0.3389
0.3750 0.2500 0.1250
0.3750 0.1250 0.7500
0.1250 0.3750 0.2500
0.5000 0.5000 0.5000
0.0000 0.0000 0.0000
0.6250 0.7500 0.8750
0.5000 0.0000 0.5000
0.2500 0.3750 0.6250
0.0000 0.0000 0.5000
0.7500 0.6250 0.3750
0.0000 0.5000 0.5000
0.7500 0.1250 0.8750
0.5000 0.5000 0.0000
0.8750 0.6250 0.7500
0.2500 0.8750 0.1250
0.1250 0.7500 0.3750
0.0000 0.5000 0.0000
0.6250 0.8750 0.2500
0.8750 0.2500 0.6250
0.5000 0.0000 0.0000
0.7500 0.3750 0.1250
0.1250 0.8750 0.7500
0.6250 0.2500 0.3750
0.8750 0.7500 0.1250
0.6250 0.3750 0.7500
0.2500 0.6250 0.8750
0.8750 0.1250 0.2500
0.7500 0.8750 0.6250
0.3750 0.6250 0.2500
0.1250 0.2500 0.8750
0.2500 0.1250 0.3750
0.3750 0.7500 0.6250
```

Values from the calculation:
Symmetry ... Ia-3d, No. 230

---

Record 3
Material: La3TbH8
Method: DFT, PBE-GGA
State: relaxed

```
La3TbH8
1.0
-5.1197 0.4416 2.0339
-2.0789 -0.8283 -5.0532
-0.0989 -5.4462 0.9335
La Tb H
3 1 8
direct
0.0000 0.5000 0.5000
0.5000 0.5000 0.0000
0.5000 0.0000 0.5000
0.0000 0.0000 0.0000
0.2390 0.7610 0.7610
0.7610 0.7610 0.7610
0.7610 0.7610 0.2390
0.2390 0.7610 0.2390
0.7610 0.2390 0.7610
0.7610 0.2390 0.2390
0.2390 0.2390 0.2390
0.2390 0.2390 0.7610
```

Values from the calculation:
Symmetry ... Pm-3m, No. 221

---

Record 4
Material: La8Tc2H
Method: DFT, PBE-GGA
State: relaxed

```
La8Tc2H
1.0
6.3021 0.0000 -3.0019
0.0170 7.3662 0.0357
-0.3306 0.0554 7.4221
La Tc H
8 2 1
direct
0.2936 0.6150 0.5873
0.2807 0.7416 0.0693
0.2114 0.2584 0.9307
0.7064 0.3850 0.4127
0.7193 0.2584 0.9307
0.7886 0.7416 0.0693
0.7939 0.8918 0.5878
0.2061 0.1082 0.4122
0.8862 0.5789 0.7724
0.1138 0.4211 0.2276
0.0000 0.0000 0.0000
```

Values from the calculation:
Symmetry ... C2/m, No. 12

---

Number 1: DFT total energy -4.5463 eV per atom. Number 2: DFT total energy -4.3613 eV per atom. Number 3: DFT total energy -4.5193 eV per atom. Number 4: DFT total energy -5.8287 eV per atom.